[1]
A relaxed structure of Li3IrRh, computed with PBE.

```
Li3IrRh
1.0
2.759 0.000 0.000
0.000 4.693 -2.105
0.000 -0.586 4.978
Ir Li Rh
1 3 1
Direct
0.000 0.416 0.832
0.500 0.974 0.340
0.000 0.697 0.394
0.500 0.366 0.340
0.500 0.919 0.838
```

Output
Total magnetic moment (μB per formula unit): 0.00
ΔE to the lowest computed polymorph (eV per formula unit): 0.00
Formation energy (eV per atom): 0.1554
Raw total energy (eV per atom): -4.2354
Space-group type: Amm2

***

[2]
A relaxed structure of LiIr2Rh, computed with PBE.

```
LiIr2Rh
1.0
2.683 0.005 0.000
-1.310 2.341 0.000
0.000 0.000 9.114
Ir Rh Li
2 1 1
Direct
0.000 0.000 0.005
0.000 0.000 0.495
0.500 0.500 0.750
0.500 0.500 0.250
```

Output
Total magnetic moment (μB per formula unit): 0.00
Formation energy (eV per atom): 0.1068
Raw total energy (eV per atom): -6.6400
Space-group type: Cmmm

***

[3]
A relaxed structure of LiIr2Rh, computed with PBE.

```
LiIr2Rh
1.0
2.770 0.000 0.000
0.000 4.482 0.000
0.000 0.000 4.527
Li Ir Rh
1 2 1
Direct
0.500 0.000 0.500
0.500 0.500 0.000
0.000 0.000 0.000
0.000 0.500 0.500
```

Output
Total magnetic moment (μB per formula unit): 0.69
Formation energy (eV per atom): 0.0453
Raw total energy (eV per atom): -6.7015
Space-group type: Pmmm

***

[4]
A relaxed structure of Li2IrRh4, computed with PBE.

```
Li2IrRh4
1.0
5.368 -0.420 0.000
-2.550 4.742 0.000
0.000 0.000 8.584
Li Rh Ir
4 8 2
Direct
0.997 0.202 0.500
0.003 0.798 0.500
0.202 0.997 0.000
0.798 0.003 0.000
0.558 0.273 0.500
0.000 0.500 0.272
0.500 0.000 0.772
0.000 0.500 0.728
0.727 0.442 0.000
0.500 0.000 0.228
0.442 0.727 0.500
0.273 0.558 0.000
0.500 0.500 0.750
0.500 0.500 0.250
```

Output
Total magnetic moment (μB per formula unit): 0.00
Formation energy (eV per atom): 0.1122
Raw total energy (eV per atom): -5.9013
Space-group type: Cccm

***

[5]
A relaxed structure of LiIr2Rh, computed with PBE.

```
LiIr2Rh
1.0
3.975 0.000 0.000
0.000 3.728 0.000
0.000 0.000 3.728
Ir Li Rh
2 1 1
Direct
0.000 0.500 0.500
0.000 0.000 0.000
0.500 0.500 0.000
0.500 0.000 0.500
```

Output
Total magnetic moment (μB per formula unit): 0.00
Formation energy (eV per atom): 0.0156
Raw total energy (eV per atom): -6.7312
Space-group type: P4/mmm

***

[6]
A relaxed structure of LiIr2Rh, computed with PBE.

```
LiIr2Rh
1.0
-2.237 -0.134 1.511
2.396 -0.535 1.132
0.931 8.729 2.155
Ir Rh Li
2 1 1
Direct
0.500 0.500 0.254
0.000 0.000 0.999
0.500 0.500 0.746
0.000 0.000 0.501
```

Output
Total magnetic moment (μB per formula unit): 0.00
Formation energy (eV per atom): 0.1357
Raw total energy (eV per atom): -6.6112
Space-group type: Cmm2

***

[7]
A relaxed structure of Li2Ir2Rh, computed with PBE.

```
Li2Ir2Rh
1.0
6.821 0.000 0.000
0.000 6.821 0.000
0.000 0.000 2.721
Li Ir Rh
4 4 2
Direct
0.107 0.393 0.000
0.893 0.607 0.000
0.393 0.893 0.000
0.607 0.107 0.000
0.306 0.194 0.500
0.694 0.806 0.500
0.194 0.694 0.500
0.806 0.306 0.500
0.500 0.500 0.000
0.000 0.000 0.000
```

Output
Total magnetic moment (μB per formula unit): 0.00
ΔE to the lowest computed polymorph (eV per formula unit): 0.00
Formation energy (eV per atom): 0.1821
Raw total energy (eV per atom): -5.5982
Space-group type: P4/mbm

***

[8]
A relaxed structure of LiSiIrRh, computed with PBE.

```
LiSiIrRh
1.0
4.108 0.000 0.000
2.054 3.558 0.000
2.054 1.186 3.354
Li Si Rh Ir
1 1 1 1
Direct
0.250 0.250 0.250
0.750 0.750 0.750
0.500 0.500 0.500
0.000 0.000 0.000
```

Output
Total magnetic moment (μB per formula unit): 0.00
Raw total energy (eV per atom): -6.6491
Raw formation energy (eV per atom): -0.762
Space-group type: F-43m

***

[9]
A relaxed structure of LiTaIrRh2, computed with PBE.

```
LiTaIrRh2
1.0
-0.361 -1.517 -4.621
4.158 -2.132 0.375
-2.223 -4.070 1.510
Rh Ta Ir Li
2 1 1 1
Direct
0.500 0.000 0.000
0.000 0.000 0.500
0.000 0.500 0.000
0.000 0.000 0.000
0.500 0.500 0.500
```

Output
Total magnetic moment (μB per formula unit): 0.95
Formation energy (eV per atom): 1.1097
Raw total energy (eV per atom): -6.3563
Space-group type: P4/mmm

***

[10]
A relaxed structure of LiTcIr2Rh, computed with PBE.

```
LiTcIr2Rh
1.0
4.622 0.000 0.000
0.000 4.317 0.000
0.000 0.000 4.622
Ir Li Rh Tc
2 1 1 1
Direct
0.000 0.000 0.500
0.500 0.000 0.000
0.000 0.500 0.000
0.500 0.500 0.500
0.000 0.000 0.000
```

Output
Total magnetic moment (μB per formula unit): 0.00
Formation energy (eV per atom): 1.4564
Raw total energy (eV per atom): -6.0143
Space-group type: P4/mmm

***

[11]
A relaxed structure of LiThIrRh, computed with PBE.

```
LiThIrRh
1.0
3.868 0.000 0.000
0.000 4.280 0.000
0.000 0.000 4.292
Ir Th Li Rh
1 1 1 1
Direct
0.500 0.500 0.000
0.000 0.500 0.500
0.000 0.000 0.000
0.500 0.000 0.500
```

Output
Total magnetic moment (μB per formula unit): 0.00
ΔE to the lowest computed polymorph (eV per formula unit): 0.00
Formation energy (eV per atom): -0.6469
Raw total energy (eV per atom): -7.0334
Space-group type: Pmmm

***

[12]
A relaxed structure of LiThIrRh, computed with PBE.

```
LiThIrRh
1.0
4.712 0.000 0.000
2.356 4.081 0.000
2.356 1.360 3.847
Rh Th Li Ir
1 1 1 1
Direct
0.250 0.250 0.250
0.500 0.500 0.500
0.000 0.000 0.000
0.750 0.750 0.750
```

Output
Total magnetic moment (μB per formula unit): 0.00
ΔE to the lowest computed polymorph (eV per formula unit): 0.38
Formation energy (eV per atom): -0.5529
Raw total energy (eV per atom): -6.9395
Space-group type: F-43m